DFT (GGA-PBE) results for Fe3Ni3Pt2 after structural relaxation.

Lattice parameters (Å, degrees): 3.6962 3.7122 7.3840 90.00 90.00 90.00
Atoms (fractional coordinates):
Fe1 0.0000 0.0000 0.0000
Fe2 0.5000 0.0000 0.2508
Fe3 0.5000 0.0000 0.7492
Ni1 0.0000 0.0000 0.5000
Ni2 0.5000 0.5000 0.0000
Ni3 0.5000 0.5000 0.5000
Pt1 0.0000 0.5000 0.2519
Pt2 0.0000 0.5000 0.7481

Output
total magnetic moment: 1.47 μB per atom
DFT formation energy: -0.175 eV/atom
calculated total energy: -7.027 eV/atom

=====

DFT (GGA-PBE) results for YCoCu2 after structural relaxation.

Lattice parameters (Å, degrees): 3.8364 3.8364 4.1838 90.00 90.00 90.00
Atoms (fractional coordinates):
Y1 0.0000 0.0000 0.0000
Co1 0.5000 0.5000 0.0000
Cu1 0.0000 0.5000 0.5000
Cu2 0.5000 0.0000 0.5000

Output
distance to the lowest polymorph of the same formula: 99 meV/atom
total magnetic moment: 0.00 μB per atom
DFT formation energy: 0.036 eV/atom
calculated total energy: -5.405 eV/atom

=====

DFT (GGA-PBE) results for Y3Pa2NbN6 after structural relaxation.

Lattice parameters (Å, degrees): 5.9205 5.9205 5.9617 99.36 99.36 119.99
Atoms (fractional coordinates):
Y1 0.0000 0.0000 0.0000
Y2 0.3376 0.6624 0.0000
Y3 0.6624 0.3376 0.0000
Pa1 0.1669 0.8331 0.5000
Pa2 0.8331 0.1669 0.5000
Nb1 0.5000 0.5000 0.5000
N1 0.0855 0.4212 0.2642
N2 0.2443 0.2443 0.7396
N3 0.4212 0.0855 0.2642
N4 0.5788 0.9145 0.7358
N5 0.7557 0.7557 0.2604
N6 0.9145 0.5788 0.7358

Output
E_form (uncorrected): -1.57 eV per atom
total magnetic moment: 0.00 μB per atom
calculated total energy: -9.770 eV/atom

=====

DFT (GGA-PBE) results for Tm4MgTl7 after structural relaxation.

Lattice parameters (Å, degrees): 7.9550 7.9550 11.3465 126.95 126.95 39.32
Atoms (fractional coordinates):
Tm1 0.0910 0.0910 0.3106
Tm2 0.2019 0.2019 0.8496
Tm3 0.7981 0.7981 0.1504
Tm4 0.9090 0.9090 0.6894
Mg1 0.5000 0.5000 0.5000
Tl1 0.0000 0.0000 0.5000
Tl2 0.1417 0.1417 0.0816
Tl3 0.2900 0.2900 0.6660
Tl4 0.4370 0.4370 0.1848
Tl5 0.5630 0.5630 0.8152
Tl6 0.7100 0.7100 0.3340
Tl7 0.8583 0.8583 0.9184

Output
total magnetic moment: 0.00 μB per atom
DFT formation energy: -0.065 eV/atom
calculated total energy: -3.069 eV/atom

=====

DFT (GGA-PBE) results for Sr2ZnSn3Pd4 after structural relaxation.

Lattice parameters (Å, degrees): 4.7116 4.7116 10.3903 90.00 90.00 90.00
Atoms (fractional coordinates):
Sr1 0.0000 0.5000 0.2487
Sr2 0.5000 0.0000 0.7513
Zn1 0.0000 0.0000 0.5000
Sn1 0.0000 0.5000 0.8752
Sn2 0.5000 0.0000 0.1248
Sn3 0.5000 0.5000 0.5000
Pd1 0.0000 0.0000 0.0000
Pd2 0.0000 0.5000 0.6193
Pd3 0.5000 0.0000 0.3807
Pd4 0.5000 0.5000 0.0000

Output
total magnetic moment: 0.00 μB per atom
DFT formation energy: -0.688 eV/atom
calculated total energy: -4.429 eV/atom

=====

DFT (GGA-PBE) results for Zr2AlSn after structural relaxation.

Lattice parameters (Å, degrees): 7.4555 7.4555 7.4555 30.20 30.20 30.20
Atoms (fractional coordinates):
Zr1 0.2472 0.2472 0.2472
Zr2 0.7528 0.7528 0.7528
Al1 0.5000 0.5000 0.5000
Sn1 0.0000 0.0000 0.0000

Output
total magnetic moment: 0.00 μB per atom
DFT formation energy: -0.167 eV/atom
calculated total energy: -6.378 eV/atom

=====

DFT (GGA-PBE) results for Ti6Pd8Pt after structural relaxation.

Lattice parameters (Å, degrees): 6.9085 6.9085 6.9085 63.05 63.05 63.05
Atoms (fractional coordinates):
Ti1 0.1092 0.6592 0.3852
Ti2 0.3408 0.6148 0.8908
Ti3 0.3852 0.1092 0.6592
Ti4 0.6148 0.8908 0.3408
Ti5 0.6592 0.3852 0.1092
Ti6 0.8908 0.3408 0.6148
Pd1 0.1300 0.4057 0.8305
Pd2 0.1695 0.8700 0.5943
Pd3 0.2708 0.2708 0.2708
Pd4 0.4057 0.8305 0.1300
Pd5 0.5943 0.1695 0.8700
Pd6 0.7292 0.7292 0.7292
Pd7 0.8305 0.1300 0.4057
Pd8 0.8700 0.5943 0.1695
Pt1 0.0000 0.0000 0.0000

Output
total magnetic moment: 0.00 μB per atom
DFT formation energy: -0.429 eV/atom
calculated total energy: -6.760 eV/atom

=====

DFT (GGA-PBE) results for Sr2CaPPb after structural relaxation.

Lattice parameters (Å, degrees): 5.8359 5.8359 5.4265 90.00 90.00 90.00
Atoms (fractional coordinates):
Sr1 0.0000 0.5000 0.0000
Sr2 0.5000 0.0000 0.0000
Ca1 0.0000 0.0000 0.5000
P1 0.0000 0.0000 0.0000
Pb1 0.5000 0.5000 0.5000

Output
total magnetic moment: 0.00 μB per atom
DFT formation energy: -0.706 eV/atom
calculated total energy: -3.603 eV/atom

=====

DFT (GGA-PBE) results for AlPbCl2 after structural relaxation.

Lattice parameters (Å, degrees): 3.6384 4.5960 6.0037 90.00 90.00 90.00
Atoms (fractional coordinates):
Al1 0.0000 0.0000 0.0000
Pb1 0.5000 0.0000 0.5000
Cl1 0.0000 0.5000 0.5000
Cl2 0.5000 0.5000 0.0000

Output
distance to the lowest polymorph of the same formula: 163 meV/atom
E_form (uncorrected): -0.43 eV per atom
total magnetic moment: 0.00 μB per atom
calculated total energy: -3.216 eV/atom

=====

DFT (GGA-PBE) results for SbOsW2 after structural relaxation.

Lattice parameters (Å, degrees): 5.0047 5.0047 2.9790 90.00 90.00 115.83
Atoms (fractional coordinates):
Sb1 0.0000 0.0000 0.0000
Os1 0.5000 0.5000 0.0000
W1 0.0000 0.5000 0.5000
W2 0.5000 0.0000 0.5000

Output
E_form (uncorrected): 0.59 eV per atom
total magnetic moment: 0.00 μB per atom
calculated total energy: -9.722 eV/atom

=====

DFT (GGA-PBE) results for BeIrSe after structural relaxation.

Lattice parameters (Å, degrees): 3.9540 3.9540 3.2369 90.00 90.00 120.00
Atoms (fractional coordinates):
Be1 0.0000 0.0000 0.0000
Ir1 0.6667 0.3333 0.0000
Se1 0.3333 0.6667 0.5000

Output
distance to the lowest polymorph of the same formula: 206 meV/atom
E_form (uncorrected): 0.28 eV per atom
total magnetic moment: 0.00 μB per atom
calculated total energy: -5.081 eV/atom

=====

DFT (GGA-PBE) results for Sm2Ge3Pd5 after structural relaxation.

Lattice parameters (Å, degrees): 12.4800 12.4800 6.8513 90.00 90.00 159.89
Atoms (fractional coordinates):
Sm1 0.0239 0.9761 0.5000
Sm2 0.3259 0.6741 0.4614
Sm3 0.6741 0.3259 0.9614
Sm4 0.9761 0.0239 0.0000
Ge1 0.1222 0.8778 0.2647
Ge2 0.2735 0.7265 0.9058
Ge3 0.4501 0.5499 0.2899
Ge4 0.5499 0.4501 0.7899
Ge5 0.7265 0.2735 0.4058
Ge6 0.8778 0.1222 0.7647
Pd1 0.0951 0.9049 0.8931
Pd2 0.1977 0.8023 0.6295
Pd3 0.2247 0.7753 0.2160
Pd4 0.3747 0.6253 0.0019
Pd5 0.4444 0.5556 0.6663
Pd6 0.5556 0.4444 0.1663
Pd7 0.6253 0.3747 0.5019
Pd8 0.7753 0.2247 0.7160
Pd9 0.8023 0.1977 0.1295
Pd10 0.9049 0.0951 0.3931

Output
distance to the lowest polymorph of the same formula: 10 meV/atom
total magnetic moment: 0.00 μB per atom
DFT formation energy: -0.771 eV/atom
calculated total energy: -5.696 eV/atom